# PBE Cs2AlGaI6, relaxed
# Calculated volume, Å³/cell: 430
# Total DFT energy (no corrections), eV per cell: -27.1
# Energy relative to the elements, uncorrected, eV/f.u.: -9.33
# Symmetry: Fm-3m (225)
# Calculated density, Mg/m³: 4.34
data_Cs2AlGaI6
_chemical_formula_sum 'Cs2 Al1 Ga1 I6'
_cell_length_a 8.470
_cell_length_b 8.470
_cell_length_c 8.472
_cell_angle_alpha 60.01
_cell_angle_beta 60.01
_cell_angle_gamma 90.00
_space_group_name_H-M_alt 'P 1'
_space_group_IT_number 1
loop_
_space_group_symop_operation_xyz
'x,y,z'
loop_
_atom_site_label
_atom_site_type_symbol
_atom_site_fract_x
_atom_site_fract_y
_atom_site_fract_z
Cs1 Cs 0.750 0.250 0.500
Cs2 Cs 0.250 0.750 0.500
I1 I 0.266 0.266 0.468
I2 I 0.734 0.734 0.532
I3 I 0.266 0.266 0.000
I4 I 0.734 0.734 0.000
I5 I 0.734 0.266 0.000
I6 I 0.266 0.734 0.000
Al1 Al 0.500 0.500 0.000
Ga1 Ga 0.000 0.000 0.000

---

# PBE K2In2Os, relaxed
# Calculated volume, Å³/cell: 125
# Total DFT energy (no corrections), eV per cell: -13.6
# Calculated formation energy, kJ per mole of atoms: 103
# Symmetry: I4/mmm (139)
# Calculated density, Mg/m³: 6.63
data_K2In2Os
_chemical_formula_sum 'K2 In2 Os1'
_cell_length_a 8.757
_cell_length_b 8.757
_cell_length_c 8.757
_cell_angle_alpha 154.46
_cell_angle_beta 154.46
_cell_angle_gamma 36.43
_space_group_name_H-M_alt 'P 1'
_space_group_IT_number 1
loop_
_space_group_symop_operation_xyz
'x,y,z'
loop_
_atom_site_label
_atom_site_type_symbol
_atom_site_fract_x
_atom_site_fract_y
_atom_site_fract_z
K1 K 0.250 0.750 0.500
K2 K 0.750 0.250 0.500
In1 In 0.584 0.584 0.000
In2 In 0.416 0.416 0.000
Os1 Os 0.000 0.000 0.000

---

# PBE LiLaCu2, relaxed
# Calculated volume, Å³/cell: 75
# Total DFT energy (no corrections), eV per cell: -15.1
# Calculated formation energy, kJ per mole of atoms: -3
# Symmetry: P2/m (10)
# Calculated density, Mg/m³: 6.02
data_LiLaCu2
_chemical_formula_sum 'Li1 La1 Cu2'
_cell_length_a 3.403
_cell_length_b 3.352
_cell_length_c 7.415
_cell_angle_alpha 62.79
_cell_angle_beta 90.00
_cell_angle_gamma 90.00
_space_group_name_H-M_alt 'P 1'
_space_group_IT_number 1
loop_
_space_group_symop_operation_xyz
'x,y,z'
loop_
_atom_site_label
_atom_site_type_symbol
_atom_site_fract_x
_atom_site_fract_y
_atom_site_fract_z
Cu1 Cu 0.000 0.062 0.939
Cu2 Cu 0.000 0.438 0.561
La1 La 0.500 0.250 0.250
Li1 Li 0.500 0.750 0.750

---

# PBE NaSrGeBr5, relaxed
# Calculated volume, Å³/cell: 590
# Total DFT energy (no corrections), eV per cell: -53.2
# Energy relative to the elements, uncorrected, eV/f.u.: -10.64
# Symmetry: C2/c (15)
# Calculated density, Mg/m³: 3.28
data_NaSrGeBr5
_chemical_formula_sum 'Na2 Sr2 Ge2 Br10'
_cell_length_a 7.795
_cell_length_b 7.795
_cell_length_c 11.730
_cell_angle_alpha 111.84
_cell_angle_beta 111.84
_cell_angle_gamma 95.86
_space_group_name_H-M_alt 'P 1'
_space_group_IT_number 1
loop_
_space_group_symop_operation_xyz
'x,y,z'
loop_
_atom_site_label
_atom_site_type_symbol
_atom_site_fract_x
_atom_site_fract_y
_atom_site_fract_z
Na1 Na 0.317 0.683 0.250
Na2 Na 0.683 0.317 0.750
Sr1 Sr 0.000 0.000 0.500
Sr2 Sr 0.000 0.000 0.000
Ge1 Ge 0.730 0.270 0.250
Ge2 Ge 0.270 0.730 0.750
Br1 Br 0.061 0.939 0.250
Br2 Br 0.939 0.061 0.750
Br3 Br 0.922 0.388 0.115
Br4 Br 0.078 0.612 0.885
Br5 Br 0.612 0.078 0.385
Br6 Br 0.388 0.922 0.615
Br7 Br 0.750 0.598 0.424
Br8 Br 0.250 0.402 0.576
Br9 Br 0.402 0.250 0.076
Br10 Br 0.598 0.750 0.924

---

# PBE CsLiTi3, relaxed
# Calculated volume, Å³/cell: 114
# Total DFT energy (no corrections), eV per cell: -19.4
# Calculated formation energy, kJ per mole of atoms: 136
# Symmetry: Pm-3m (221)
# Calculated density, Mg/m³: 4.12
data_CsLiTi3
_chemical_formula_sum 'Cs1 Li1 Ti3'
_cell_length_a 4.851
_cell_length_b 4.851
_cell_length_c 4.851
_cell_angle_alpha 90.00
_cell_angle_beta 90.00
_cell_angle_gamma 90.00
_space_group_name_H-M_alt 'P 1'
_space_group_IT_number 1
loop_
_space_group_symop_operation_xyz
'x,y,z'
loop_
_atom_site_label
_atom_site_type_symbol
_atom_site_fract_x
_atom_site_fract_y
_atom_site_fract_z
Cs1 Cs 0.500 0.500 0.500
Li1 Li 0.000 0.000 0.000
Ti1 Ti 0.000 0.500 0.000
Ti2 Ti 0.000 0.000 0.500
Ti3 Ti 0.500 0.000 0.000

---

# PBE LiSbTe2, relaxed
# Calculated volume, Å³/cell: 108
# Total DFT energy (no corrections), eV per cell: -12.9
# Energy relative to the elements, uncorrected, eV/f.u.: -0.63
# Symmetry: R-3m (166)
# Calculated density, Mg/m³: 5.90
data_LiSbTe2
_chemical_formula_sum 'Li1 Sb1 Te2'
_cell_length_a 10.376
_cell_length_b 10.376
_cell_length_c 10.376
_cell_angle_alpha 19.43
_cell_angle_beta 19.43
_cell_angle_gamma 19.43
_space_group_name_H-M_alt 'P 1'
_space_group_IT_number 1
loop_
_space_group_symop_operation_xyz
'x,y,z'
loop_
_atom_site_label
_atom_site_type_symbol
_atom_site_fract_x
_atom_site_fract_y
_atom_site_fract_z
Sb1 Sb 0.000 0.000 0.000
Te1 Te 0.900 0.900 0.900
Te2 Te 0.100 0.100 0.100
Li1 Li 0.500 0.500 0.500